MgCd2Au9 after structural relaxation. Source: Alexandria, functional PBE-GGA.

Cell: 4.1843 4.1843 12.5900 Å, 90.00 90.00 90.00°
With the nearest neighbours (Å) after each atom.
Atoms (fractional coordinates):
Mg: 0.0000 0.0000 0.0000  12 Au 2.91-2.96
Cd: 0.0000 0.0000 0.3321  12 Au 2.96-3.00
Cd: 0.0000 0.0000 0.6679  12 Au 2.96-3.00
Au: 0.0000 0.5000 0.1612  2 Mg 2.91, 8 Au 2.91-2.99, 2 Cd 3.00
Au: 0.0000 0.5000 0.5000  8 Au 2.96-2.99, 4 Cd 2.97
Au: 0.0000 0.5000 0.8388  2 Mg 2.91, 8 Au 2.91-2.99, 2 Cd 3.00
Au: 0.5000 0.0000 0.1612  2 Mg 2.91, 8 Au 2.91-2.99, 2 Cd 3.00
Au: 0.5000 0.0000 0.5000  8 Au 2.96-2.99, 4 Cd 2.97
Au: 0.5000 0.0000 0.8388  2 Mg 2.91, 8 Au 2.91-2.99, 2 Cd 3.00
Au: 0.5000 0.5000 0.0000  8 Au 2.91, 4 Mg 2.96
Au: 0.5000 0.5000 0.3304  4 Cd 2.96, 8 Au 2.99
Au: 0.5000 0.5000 0.6696  4 Cd 2.96, 8 Au 2.99

***

MgCd14Au after structural relaxation. Source: Alexandria, functional PBE-GGA.

Cell: 10.5556 6.2429 6.2429 Å, 58.22 90.00 90.00°
With the nearest neighbours (Å) after each atom.
Atoms (fractional coordinates):
Mg: 0.0000 0.0000 0.0000  2 Au 3.04, 10 Cd 3.08-3.23
Cd: 0.0000 0.4941 0.9976  8 Cd 3.02-3.18, 2 Mg 3.08-3.17, 2 Au 3.08-3.16
Cd: 0.0000 0.9976 0.4941  8 Cd 3.02-3.18, 2 Mg 3.08-3.17, 2 Au 3.08-3.16
Cd: 0.2411 0.1716 0.6703  9 Cd 3.03-3.19, 1 Au 3.06, 1 Mg 3.09
Cd: 0.2411 0.6703 0.1716  9 Cd 3.03-3.19, 1 Au 3.06, 1 Mg 3.09
Cd: 0.2428 0.6684 0.6684  10 Cd 3.04-3.17, 1 Au 3.20
Cd: 0.2505 0.1706 0.1706  11 Cd 3.04-3.36, 1 Mg 3.23
Cd: 0.5000 0.3618 0.3618  12 Cd 3.04-3.36
Cd: 0.5000 0.3629 0.8587  10 Cd 3.01-3.17
Cd: 0.5000 0.8587 0.3629  10 Cd 3.01-3.17
Cd: 0.5000 0.8615 0.8615  10 Cd 3.04-3.19
Cd: 0.7495 0.1706 0.1706  11 Cd 3.04-3.36, 1 Mg 3.23
Cd: 0.7572 0.6684 0.6684  10 Cd 3.04-3.17, 1 Au 3.20
Cd: 0.7589 0.1716 0.6703  9 Cd 3.03-3.19, 1 Au 3.06, 1 Mg 3.09
Cd: 0.7589 0.6703 0.1716  9 Cd 3.03-3.19, 1 Au 3.06, 1 Mg 3.09
Au: 0.0000 0.4920 0.4920  2 Mg 3.04, 10 Cd 3.06-3.20

***

Mg2Cd2Au after structural relaxation. Source: Alexandria, functional PBE-GGA.

- Energy above the lowest structure with this stoichiometry: 222 meV per atom

Cell: 8.2691 8.2691 8.2691 Å, 153.13 153.13 38.36°
With the nearest neighbours (Å) after each atom.
Atoms (fractional coordinates):
Mg: 0.0896 0.0896 0.0000  1 Mg 2.80, 4 Au 3.06
Mg: 0.9104 0.9104 0.0000  1 Mg 2.80, 4 Au 3.06
Cd: 0.2500 0.7500 0.5000  4 Cd 2.72
Cd: 0.7500 0.2500 0.5000  4 Cd 2.72
Au: 0.5000 0.5000 0.0000  8 Mg 3.06

***

MgCdAu4 after structural relaxation. Source: Alexandria, functional PBE-GGA.

- Energy above the lowest structure with this stoichiometry: 107 meV per atom

Cell: 5.5473 5.5473 5.5473 Å, 60.00 60.00 60.00°
With the nearest neighbours (Å) after each atom.
Atoms (fractional coordinates):
Mg: 0.0000 0.0000 0.0000  12 Au 3.25, 4 Cd 3.40
Cd: 0.2500 0.2500 0.2500  12 Au 3.25, 4 Mg 3.40
Au: 0.1246 0.6251 0.6251  6 Au 2.77-2.78
Au: 0.6251 0.1246 0.6251  6 Au 2.77-2.78
Au: 0.6251 0.6251 0.1246  6 Au 2.77-2.78
Au: 0.6251 0.6251 0.6251  6 Au 2.77-2.78

***

MgCd4Au2 after structural relaxation. Source: Alexandria, functional PBE-GGA.

Cell: 7.9749 7.9749 7.9749 Å, 34.97 34.97 34.97°
With the nearest neighbours (Å) after each atom.
Atoms (fractional coordinates):
Mg: 0.0000 0.0000 0.0000  8 Cd 2.98-3.06, 6 Au 3.23
Cd: 0.1328 0.1328 0.1328  4 Au 2.84-3.07, 1 Mg 2.98, 3 Cd 3.16
Cd: 0.3915 0.3915 0.3915  4 Au 2.79-2.96, 3 Mg 3.06
Cd: 0.6085 0.6085 0.6085  4 Au 2.79-2.96, 3 Mg 3.06
Cd: 0.8672 0.8672 0.8672  4 Au 2.84-3.07, 1 Mg 2.98, 3 Cd 3.16
Au: 0.2594 0.2594 0.2594  8 Cd 2.79-3.07
Au: 0.7406 0.7406 0.7406  8 Cd 2.79-3.07

***

Mg3CdAu2 after structural relaxation. Source: Alexandria, functional PBE-GGA.

- Energy above the lowest structure with this stoichiometry: 20 meV per atom

Cell: 4.7287 4.7287 11.7427 Å, 90.00 90.00 120.00°
With the nearest neighbours (Å) after each atom.
Atoms (fractional coordinates):
Mg: 0.0000 0.0000 0.2373  5 Au 2.79-3.08, 3 Cd 2.93
Mg: 0.0000 0.0000 0.7627  5 Au 2.79-3.08, 3 Cd 2.93
Mg: 0.3333 0.6667 0.4209  4 Au 2.86-2.88, 4 Cd 2.94-2.95
Mg: 0.3333 0.6667 0.9277  7 Au 2.86-2.99, 1 Cd 3.00
Mg: 0.6667 0.3333 0.0723  7 Au 2.86-2.99, 1 Cd 3.00
Mg: 0.6667 0.3333 0.5791  4 Au 2.86-2.88, 4 Cd 2.94-2.95
Cd: 0.3333 0.6667 0.6724  8 Mg 2.93-3.00, 3 Au 3.25
Cd: 0.6667 0.3333 0.3276  8 Mg 2.93-3.00, 3 Au 3.25
Au: 0.0000 0.0000 0.0000  8 Mg 2.79-2.86
Au: 0.0000 0.0000 0.5000  8 Mg 2.88-3.08
Au: 0.3333 0.6667 0.1772  8 Mg 2.82-2.99
Au: 0.6667 0.3333 0.8228  8 Mg 2.82-2.99

***

Number 1: final energy -2.95 eV/atom. Number 2: final energy -1.15 eV/atom. Number 3: final energy -1.68 eV/atom. Number 4: final energy -2.79 eV/atom. Number 5: final energy -1.89 eV/atom. Number 6: final energy -2.48 eV/atom.